VASP calculation (PBE) on an optimized crystal structure of TbGeB.

Calculated values
final energy = -17.392 eV for the cell shown
theoretical density = 8326 kg/m³
DFT formation energy = -0.49 eV per atom
size of the total moment = 0.0 μB/f.u.

Unit cell a=3.6418 b=3.6418 c=4.2084 alpha=90.00 beta=90.00 gamma=120.00
Space group P3m1 (No. 156)
Symmetry-distinct sites (fractional):
Tb (0.0000, 0.0000, 0.0000)
Ge (0.6667, 0.3333, 0.5117)
B (0.3333, 0.6667, 0.4504)

=====

VASP calculation (PBE) on an optimized crystal structure of Tb2Tc2Ge2B.

Calculated values
final energy = -100.204 eV for the cell shown
theoretical density = 8680 kg/m³
DFT formation energy = -0.60 eV per atom
size of the total moment = 0.0 μB/f.u.

Unit cell a=10.927 b=4.061 c=7.045 alpha=90.00 beta=124.93 gamma=90.00
Space group C2/m (No. 12)
Symmetry-distinct sites (fractional):
Tb (0.070, 0.000, 0.298)
Tc (0.211, 0.500, 0.085)
Ge (0.144, 0.500, 0.674)
B (0.000, 0.500, 0.000)

=====

VASP calculation (PBE) on an optimized crystal structure of TcGeB3.

Calculated values
final energy = -24.068 eV for the cell shown
theoretical density = 5387 kg/m³
DFT formation energy = 2.19 eV per atom
size of the total moment = 0.0 μB/f.u.

Unit cell a=3.971 b=3.971 c=3.971 alpha=90.00 beta=90.00 gamma=90.00
Space group Pm-3m (No. 221)
Symmetry-distinct sites (fractional):
Tc (0.000, 0.000, 0.000)
Ge (0.500, 0.500, 0.500)
B (0.000, 0.500, 0.500)

=====

VASP calculation (PBE) on an optimized crystal structure of TcGe3B.

Calculated values
final energy = -25.258 eV for the cell shown
theoretical density = 4943 kg/m³
DFT formation energy = 1.13 eV per atom
size of the total moment = 1.5 μB/f.u.

Unit cell a=4.788 b=4.788 c=4.788 alpha=90.00 beta=90.00 gamma=90.00
Space group Pm-3m (No. 221)
Symmetry-distinct sites (fractional):
Tc (0.000, 0.000, 0.000)
Ge (0.000, 0.000, 0.500)
B (0.500, 0.500, 0.500)

=====

VASP calculation (PBE) on an optimized crystal structure of TcGeB3.

Calculated values
final energy = -29.227 eV for the cell shown
theoretical density = 4786 kg/m³
DFT formation energy = 1.16 eV per atom
size of the total moment = 0.0 μB/f.u.

Unit cell a=4.130 b=4.130 c=4.130 alpha=90.00 beta=90.00 gamma=90.00
Space group Pm-3m (No. 221)
Symmetry-distinct sites (fractional):
Tc (0.000, 0.000, 0.000)
Ge (0.500, 0.500, 0.500)
B (0.000, 0.000, 0.500)

=====

VASP calculation (PBE) on an optimized crystal structure of Tc2GeB.

Calculated values
final energy = -125.879 eV for the cell shown
theoretical density = 8581 kg/m³
DFT formation energy = 0.14 eV per atom
size of the total moment = 0.0 μB/f.u.

Unit cell a=6.790 b=6.790 c=4.691 alpha=90.00 beta=90.00 gamma=90.00
Space group I-42d (No. 122)
Symmetry-distinct sites (fractional):
Tc (0.160, 0.750, 0.125)
Ge (0.000, 0.000, 0.500)
B (0.000, 0.000, 0.000)

=====

VASP calculation (PBE) on an optimized crystal structure of Tc12GeB6.

Calculated values
final energy = -349.809 eV for the cell shown
theoretical density = 9746 kg/m³
DFT formation energy = -0.31 eV per atom
size of the total moment = 0.0 μB/f.u.

Unit cell a=7.649 b=7.649 c=7.649 alpha=90.00 beta=90.00 gamma=90.00
Space group Im-3 (No. 204)
Symmetry-distinct sites (fractional):
Tc (0.000, 0.188, 0.304)
Ge (0.000, 0.000, 0.000)
B (0.000, 0.385, 0.500)

=====

VASP calculation (PBE) on an optimized crystal structure of TcGe3B.

Calculated values
final energy = -25.819 eV for the cell shown
theoretical density = 6761 kg/m³
DFT formation energy = 1.02 eV per atom
size of the total moment = 1.8 μB/f.u.

Unit cell a=4.313 b=4.313 c=4.313 alpha=90.00 beta=90.00 gamma=90.00
Space group Pm-3m (No. 221)
Symmetry-distinct sites (fractional):
Tc (0.000, 0.000, 0.000)
Ge (0.000, 0.500, 0.500)
B (0.500, 0.500, 0.500)